A plane-wave DFT calculation with PBEsol was carried out for a relaxed structure of CrGaO2.

Lattice parameters (Å, degrees): 2.9567 2.9567 17.8356 90.00 90.00 120.00
Space group R-3m (No. 166, hexagonal axes)
Unique sites:
Cr: 0.0000 0.0000 0.0000 x3
Ga: 0.0000 0.0000 0.5000 x3
O: 0.0000 0.0000 0.1093 x6

Summary:
The calculation puts the final energy at -87.22 eV for the cell shown. The crystal system is trigonal. The calculation puts the formation energy without anion corrections at -1.2486 eV per atom.